Here is a relaxed structure of ZnCd3Pt4 from Alexandria via LeMat-Bulk. Energies are from PBE-GGA.

The structure in extended XYZ format:
```
8
Lattice="-0.397 2.472 -1.626 0.742 -1.504 -2.469 -14.467 -3.703 -2.094" Properties=species:S:1:pos:R:3 pbc="T T T"
Pt -9.113 -2.333 -1.319
Pt -5.354 -1.370 -0.775
Pt -1.552 -0.397 -0.225
Pt -12.915 -3.306 -1.869
Zn 0.173 0.484 -2.047
Cd -7.061 -1.368 -3.094
Cd -10.824 -2.331 -3.639
Cd -3.298 -0.405 -2.549
```

Summary:
- calculated volume (Å³/f.u.) = 134
- N(E_F) (states/eV/atom) = 0.235
- DFT total energy (eV/atom) = -3.914